[1]
## Ca2Ac4Pm5 (GGA-PBE)

Data for Ca2Ac4Pm5 after structural relaxation.

calculated total energy: -42.39 eV/cell
total moment: 0.00 μB per cell
DOS at the Fermi energy: 1.50 states/eV per atom
V: 39.9 Å³/atom
energy of formation from the pure elements: 0.163 eV per atom

Lattice parameters (Å, degrees): 10.112 3.761 11.590 90.00 95.98 90.00
Space group P2/m (No. 10)
Symmetry-distinct sites (fractional):
Ca 0.075 0.000 0.379 [2 per cell]
Ac 0.222 0.500 0.143 [2 per cell]
Ac 0.285 0.500 0.662 [2 per cell]
Pm 0.118 0.000 0.888 [2 per cell]
Pm 0.412 0.000 0.375 [2 per cell]
Pm 0.500 0.000 0.000 [1 per cell]

---

[2]
## Ca2Ac5Pm2 (GGA-PBE)

Data for Ca2Ac5Pm2 after structural relaxation.

calculated total energy: -33.65 eV/cell
total moment: 0.00 μB per cell
DOS at the Fermi energy: 1.60 states/eV per atom
V: 41.9 Å³/atom
energy of formation from the pure elements: 0.044 eV per atom

Lattice parameters (Å, degrees): 6.719 6.757 10.299 71.09 71.21 60.32
Space group P-1 (No. 2)
Symmetry-distinct sites (fractional):
Ca 0.163 0.173 0.000 [2 per cell]
Ac 0.057 0.718 0.337 [2 per cell]
Ac 0.388 0.055 0.337 [2 per cell]
Ac 0.500 0.500 0.000 [1 per cell]
Pm 0.288 0.610 0.658 [2 per cell]

---

[3]
## CaAc4Pm5 (GGA-PBE)

Data for CaAc4Pm5 after structural relaxation.

calculated total energy: -82.52 eV/cell
total moment: 0.00 μB per cell
DOS at the Fermi energy: 1.31 states/eV per atom
V: 39.1 Å³/atom
energy of formation from the pure elements: 0.093 eV per atom

Lattice parameters (Å, degrees): 17.611 6.125 7.420 90.00 102.55 90.00
Space group C2/m (No. 12)
Symmetry-distinct sites (fractional):
Ca 0.000 0.000 0.000 [2 per cell]
Ac 0.105 0.500 0.409 [4 per cell]
Ac 0.199 0.000 0.740 [4 per cell]
Pm 0.000 0.000 0.500 [2 per cell]
Pm 0.107 0.500 0.910 [4 per cell]
Pm 0.197 0.000 0.235 [4 per cell]

---

[4]
## CaAc4Pm4 (GGA-PBE)

Data for CaAc4Pm4 after structural relaxation.

calculated total energy: -74.18 eV/cell
total moment: 0.00 μB per cell
DOS at the Fermi energy: 1.47 states/eV per atom
V: 39.7 Å³/atom
energy of formation from the pure elements: 0.038 eV per atom

Lattice parameters (Å, degrees): 11.455 11.455 5.445 90.00 90.00 90.00
Space group I4/mmm (No. 139)
Symmetry-distinct sites (fractional):
Ca 0.000 0.000 0.000 [2 per cell]
Ac 0.170 0.170 0.500 [8 per cell]
Pm 0.000 0.343 0.000 [8 per cell]